a.
Here is a geometry-optimized LiMnTl2 structure from Alexandria. Energies are from GGA-PBE.

Summary:
N(E_F)   2.5 states/eV per cell
Total magnetic moment   3.81 Bohr magnetons per cell

```
LiMnTl2
1.0
-0.647 -2.794 1.781
0.435 -1.871 -2.777
7.058 -0.650 1.543
Li Mn Tl
1 1 2
Cartesian
1.659 -2.495 -0.112
5.187 -2.820 0.659
7.053 -0.650 1.542
3.533 -0.325 0.773
```

b.
Here is a geometry-optimized LiMnTl2 structure from Alexandria. Energies are from GGA-PBE.

Summary:
N(E_F)   2.5 states/eV per cell
Total magnetic moment   3.64 Bohr magnetons per cell

```
LiMnTl2
1.0
-0.086 1.636 2.878
-1.935 -3.442 1.898
5.303 -2.203 1.410
Li Mn Tl
1 1 2
Cartesian
2.591 -1.076 0.689
3.091 -2.607 3.479
5.031 -2.090 1.338
0.523 -1.540 2.796
```

c.
Here is a geometry-optimized LiMnTl2 structure from Alexandria. Energies are from GGA-PBE.

Summary:
N(E_F)   2.9 states/eV per cell
Total magnetic moment   3.76 Bohr magnetons per cell

```
LiMnTl2
1.0
6.133 0.101 0.076
3.320 5.157 -0.076
-4.326 -3.348 2.774
Li Mn Tl
1 1 2
Cartesian
4.501 2.503 0.000
1.851 2.214 1.349
0.187 0.104 0.000
3.314 -0.283 1.425
```

Most stable structure - a; separation to the second - 72 meV per atom.

a.
Here is a geometry-optimized LiMn3V structure from Alexandria. Energies are from GGA-PBE.

Summary:
N(E_F)   3.9 states/eV per cell
Total magnetic moment   8.07 Bohr magnetons per cell

```
LiMn3V
1.0
4.503 0.000 0.000
0.000 4.503 0.000
0.000 0.000 4.503
V Mn Li
1 3 1
Cartesian
0.000 0.000 0.000
0.000 2.251 0.000
0.000 0.000 2.251
2.251 0.000 0.000
2.251 2.251 2.251
```

b.
Here is a geometry-optimized LiMn3V structure from Alexandria. Energies are from GGA-PBE.

Summary:
N(E_F)   7.4 states/eV per cell
Total magnetic moment   6.92 Bohr magnetons per cell

```
LiMn3V
1.0
4.096 0.000 0.000
0.000 4.096 0.000
0.000 0.000 4.096
V Mn Li
1 3 1
Cartesian
2.048 2.048 2.048
0.000 2.048 0.000
0.000 0.000 2.048
2.048 0.000 0.000
0.000 0.000 0.000
```

Most stable structure - a; separation to the second - 124 meV per atom.

a.
Here is a geometry-optimized LiMn3W structure from Alexandria. Energies are from GGA-PBE.

Summary:
N(E_F)   4.2 states/eV per cell
Total magnetic moment   8.55 Bohr magnetons per cell

```
LiMn3W
1.0
4.705 0.000 0.000
0.000 4.705 0.000
0.000 0.000 4.705
Mn W Li
3 1 1
Cartesian
0.000 2.352 0.000
0.000 0.000 2.352
2.352 0.000 0.000
0.000 0.000 0.000
2.352 2.352 2.352
```

b.
Here is a geometry-optimized LiMn3W structure from Alexandria. Energies are from GGA-PBE.

Summary:
N(E_F)   2.9 states/eV per cell
Total magnetic moment   5.95 Bohr magnetons per cell

```
LiMn3W
1.0
3.983 0.000 0.000
0.000 3.983 0.000
0.000 0.000 3.983
Mn W Li
3 1 1
Cartesian
0.000 1.992 0.000
0.000 0.000 1.992
1.992 0.000 0.000
1.992 1.992 1.992
0.000 0.000 0.000
```

Most stable structure - b; separation to the second - 153 meV per atom.